P2WO8: optimized geometry, GGA+U.

Geometry as POSCAR:
```
P2WO8
1.0
5.2355 0.0000 0.0000
0.0000 7.2570 0.0000
-5.2301 0.0000 8.1624
P W O
4 2 16
Cartesian
-0.0003 1.0193 1.8338
-2.6153 2.6092 5.9150
2.6207 4.6477 2.2474
0.0056 6.2377 6.3286
2.6177 0.0000 0.0000
0.0027 3.6285 4.0812
-1.3764 4.7008 3.2396
-3.9915 6.1847 7.3208
-2.6164 1.2017 6.6361
-0.0013 2.4268 2.5549
-2.6188 3.7774 6.7974
-0.0037 7.1080 2.7162
1.2437 1.0727 0.8491
-1.3714 2.5558 4.9304
1.3767 4.7012 3.2321
-1.2384 6.1843 7.3133
0.0090 0.1490 5.4462
2.6241 3.4795 1.3650
0.0066 4.8302 5.6075
2.6217 6.0552 1.5263
3.9968 1.0723 0.8416
1.3817 2.5562 4.9228
```

DFT total energy: -7.200 eV per atom
symmetry: P2_1/c, No. 14
total magnetization: 0.00 μB per formula unit
ΔE to the lowest computed polymorph: 71 meV/atom
Fermi-level density of states: 0.000 states/eV/atom